This record from the Open Quantum Materials Database describes an optimized crystal structure of UAlTl. The functional is PBE.

Results
SG: No. 216
Mass density, g/cm3: 9.85
Total moment, μB/f.u.: 3.65
Excess energy over the best structure of this formula in the dataset, eV per atom: 0.0000

Unit cell a=6.815 b=6.815 c=6.815 alpha=90.00 beta=90.00 gamma=90.00
Atoms (fractional coordinates):
U  0.000  0.000  0.000
U  0.000  0.500  0.500
U  0.500  0.000  0.500
U  0.500  0.500  0.000
Al  0.250  0.250  0.750
Al  0.250  0.750  0.250
Al  0.750  0.250  0.250
Al  0.750  0.750  0.750
Tl  0.000  0.000  0.500
Tl  0.000  0.500  0.000
Tl  0.500  0.000  0.000
Tl  0.500  0.500  0.500

=====

This record from the Open Quantum Materials Database describes an optimized crystal structure of Si2TcHg. The functional is PBE.

Results
SG: No. 216
Mass density, g/cm3: 8.90
Total moment, μB/f.u.: 0.64
Uncorrected energy, eV per atom: -4.597

Unit cell a=6.421 b=6.421 c=6.421 alpha=90.00 beta=90.00 gamma=90.00
Atoms (fractional coordinates):
Si  0.000  0.000  0.000
Si  0.000  0.500  0.500
Si  0.250  0.250  0.250
Si  0.250  0.750  0.750
Si  0.500  0.000  0.500
Si  0.500  0.500  0.000
Si  0.750  0.250  0.750
Si  0.750  0.750  0.250
Tc  0.000  0.000  0.500
Tc  0.000  0.500  0.000
Tc  0.500  0.000  0.000
Tc  0.500  0.500  0.500
Hg  0.250  0.250  0.750
Hg  0.250  0.750  0.250
Hg  0.750  0.250  0.250
Hg  0.750  0.750  0.750

=====

This record from the Open Quantum Materials Database describes an optimized crystal structure of InReAgSe3. The functional is PBE.

Results
SG: No. 63
Mass density, g/cm3: 7.75
Total moment, μB/f.u.: 0.02
Uncorrected energy, eV per atom: -4.807

Unit cell a=8.515 b=8.515 c=9.823 alpha=90.00 beta=90.00 gamma=157.13
Atoms (fractional coordinates):
In  0.171  0.829  0.750
In  0.829  0.171  0.250
Re  0.500  0.500  0.000
Re  0.500  0.500  0.500
Ag  0.194  0.806  0.250
Ag  0.806  0.194  0.750
Se  0.112  0.888  0.025
Se  0.112  0.888  0.475
Se  0.466  0.534  0.250
Se  0.534  0.466  0.750
Se  0.888  0.112  0.525
Se  0.888  0.112  0.975

=====

This record from the Open Quantum Materials Database describes an optimized crystal structure of TlFeAgAu. The functional is PBE.

Results
SG: No. 216
Mass density, g/cm3: 12.77
Total moment, μB/f.u.: 2.97
Excess energy over the best structure of this formula in the dataset, eV per atom: 0.0000

Unit cell a=6.649 b=6.649 c=6.649 alpha=90.00 beta=90.00 gamma=90.00
Atoms (fractional coordinates):
Tl  0.000  0.000  0.000
Tl  0.000  0.500  0.500
Tl  0.500  0.000  0.500
Tl  0.500  0.500  0.000
Fe  0.250  0.250  0.250
Fe  0.250  0.750  0.750
Fe  0.750  0.250  0.750
Fe  0.750  0.750  0.250
Ag  0.250  0.250  0.750
Ag  0.250  0.750  0.250
Ag  0.750  0.250  0.250
Ag  0.750  0.750  0.750
Au  0.000  0.000  0.500
Au  0.000  0.500  0.000
Au  0.500  0.000  0.000
Au  0.500  0.500  0.500

=====

This record from the Open Quantum Materials Database describes an optimized crystal structure of YSc2Cu4Si4. The functional is PBE.

Results
SG: No. 71
Mass density, g/cm3: 5.31
Total moment, μB/f.u.: 0.01
Uncorrected energy, eV per atom: -5.700

Unit cell a=7.624 b=7.624 c=7.624 alpha=149.87 beta=129.34 gamma=60.08
Atoms (fractional coordinates):
Y  0.000  0.000  0.000
Sc  0.374  0.874  0.500
Sc  0.626  0.126  0.500
Cu  0.022  0.328  0.694
Cu  0.365  0.672  0.694
Cu  0.635  0.328  0.306
Cu  0.978  0.672  0.306
Si  0.221  0.221  0.000
Si  0.319  0.500  0.819
Si  0.681  0.500  0.181
Si  0.779  0.779  0.000

=====

This record from the Open Quantum Materials Database describes an optimized crystal structure of Zr2Ta4Sn3C3. The functional is PBE.

Results
SG: No. 15
Mass density, g/cm3: 10.87
Total moment, μB/f.u.: 0.00
Uncorrected energy, eV per atom: -9.188

Unit cell a=5.685 b=5.685 c=14.557 alpha=101.38 beta=101.38 gamma=59.98
Atoms (fractional coordinates):
Zr  0.031  0.869  0.592
Zr  0.131  0.969  0.908
Zr  0.869  0.031  0.092
Zr  0.969  0.131  0.408
Ta  0.194  0.354  0.081
Ta  0.300  0.479  0.419
Ta  0.354  0.194  0.581
Ta  0.479  0.300  0.919
Ta  0.521  0.700  0.081
Ta  0.646  0.806  0.419
Ta  0.700  0.521  0.581
Ta  0.806  0.646  0.919
Sn  0.086  0.271  0.751
Sn  0.271  0.086  0.251
Sn  0.440  0.560  0.750
Sn  0.560  0.440  0.250
Sn  0.729  0.914  0.749
Sn  0.914  0.729  0.249
C  0.000  0.500  0.500
C  0.171  0.658  0.000
C  0.342  0.829  0.500
C  0.500  0.000  0.000
C  0.658  0.171  0.500
C  0.829  0.342  0.000